[1]
{
  "formula": "CrTc3",
  "functional": "PBE-GGA",
  "state": "optimized geometry",
  "lattice_angstrom": [[-1.123, -2.615, 0.896], [2.445, -1.391, -0.995], [2.712, 0.756, 5.607]],
  "species": ["Cr", "Tc", "Tc", "Tc"],
  "fractional_positions": [[0.000, 0.000, 0.000], [0.000, 0.000, 0.500], [0.500, 0.500, 0.229], [0.500, 0.500, 0.771]],
  "energy_ev_per_atom": -10.045,
  "sg": "P4/mmm, No. 123",
  "n_ef_per_ev_cell": 5.65,
  "formation_energy_mev_per_atom": 135
}

***

[2]
{
  "formula": "YEr7Sc4",
  "functional": "PBE-GGA",
  "state": "optimized geometry",
  "lattice_angstrom": [[-3.429, -2.317, 3.902], [3.911, -7.461, 3.152], [3.266, 0.807, 7.494]],
  "species": ["Y", "Er", "Er", "Er", "Er", "Er", "Er", "Er", "Sc", "Sc", "Sc", "Sc"],
  "fractional_positions": [[0.000, 0.000, 0.000], [0.792, 0.882, 0.535], [0.208, 0.118, 0.465], [0.088, 0.555, 0.269], [0.912, 0.445, 0.731], [0.245, 0.720, 0.790], [0.500, 0.000, 0.000], [0.755, 0.280, 0.210], [0.553, 0.297, 0.597], [0.447, 0.703, 0.403], [0.669, 0.654, 0.009], [0.331, 0.346, 0.991]],
  "energy_ev_per_atom": -5.056,
  "de_polymorph_ev_per_atom": 0.234,
  "sg": "C2/m, No. 12",
  "n_ef_per_ev_cell": 19.98,
  "formation_energy_mev_per_atom": 254
}

***

[3]
{
  "formula": "Fe3BPd",
  "functional": "PBE-GGA",
  "state": "optimized geometry",
  "lattice_angstrom": [[-2.345, 3.046, 2.545], [-3.041, -3.279, 1.122], [2.551, -1.108, 3.676]],
  "species": ["B", "Fe", "Fe", "Fe", "Pd"],
  "fractional_positions": [[0.500, 0.500, 0.500], [0.000, 0.500, 0.000], [0.000, 0.000, 0.500], [0.500, 0.000, 0.000], [0.000, 0.000, 0.000]],
  "energy_ev_per_atom": -5.450,
  "de_polymorph_ev_per_atom": 1.690,
  "sg": "Pm-3m, No. 221",
  "n_ef_per_ev_cell": 8.02,
  "formation_energy_mev_per_atom": 2001
}

***

[4]
{
  "formula": "CSe2",
  "functional": "PBE-GGA",
  "state": "optimized geometry",
  "lattice_angstrom": [[-0.985, 0.010, 13.238], [0.844, 3.854, 12.675], [-1.878, -1.042, -13.100]],
  "species": ["C", "C", "Se", "Se", "Se", "Se"],
  "fractional_positions": [[0.922, 0.672, 0.250], [0.078, 0.328, 0.750], [0.287, 0.037, 0.250], [0.713, 0.963, 0.750], [0.423, 0.173, 0.250], [0.577, 0.827, 0.750]],
  "energy_ev_per_atom": -3.920,
  "de_polymorph_ev_per_atom": 0.917,
  "sg": "Imma, No. 74",
  "n_ef_per_ev_cell": 3.26,
  "formation_energy_uncorrected_ev_per_atom": 1.477
}

***

Question: Which formula does entry 3 have?
Answer: Fe3BPd